(1)
Here is crystalline BC2Se at its relaxed geometry from Alexandria. Energies are from GGA-PBE.

Results
energy above the most stable polymorph in this dataset: 2050 meV per atom
calculated volume: 38.3 Å³ per cell
VASP energy: -4.10 eV/atom

Lattice parameters (Å, degrees): 3.784 3.784 3.784 60.00 60.00 60.00
Sites, in units of the cell vectors:
C (0.250, 0.250, 0.250)
C (0.750, 0.750, 0.750)
B (0.000, 0.000, 0.000)
Se (0.500, 0.500, 0.500)

=====

(2)
Here is crystalline B3CSe at its relaxed geometry from Alexandria. Energies are from GGA-PBE.

Results
energy above the most stable polymorph in this dataset: 0 meV per atom
calculated volume: 47.1 Å³ per cell
VASP energy: -4.74 eV/atom

Lattice parameters (Å, degrees): 3.611 3.611 3.611 90.00 90.00 90.00
Sites, in units of the cell vectors:
C (0.000, 0.000, 0.000)
B (0.500, 0.000, 0.000)
B (0.000, 0.500, 0.000)
B (0.000, 0.000, 0.500)
Se (0.500, 0.500, 0.500)

=====

(3)
Here is crystalline B2CSe at its relaxed geometry from Alexandria. Energies are from GGA-PBE.

Results
energy above the most stable polymorph in this dataset: 0 meV per atom
calculated volume: 79.5 Å³ per cell
VASP energy: -6.41 eV/atom

Lattice parameters (Å, degrees): 4.335 4.335 5.225 65.49 65.49 90.00
Sites, in units of the cell vectors:
B (0.212, 0.625, 0.250)
B (0.538, 0.125, 0.250)
B (0.375, 0.462, 0.750)
B (0.875, 0.788, 0.750)
C (0.250, 0.750, 0.500)
C (0.500, 0.500, 0.000)
Se (0.750, 0.250, 0.500)
Se (0.000, 0.000, 0.000)

=====

(4)
Here is crystalline Sr2BCSe at its relaxed geometry from Alexandria. Energies are from GGA-PBE.

Results
calculated volume: 96.4 Å³ per cell
VASP energy: -5.04 eV/atom

Lattice parameters (Å, degrees): 5.563 3.117 5.563 90.00 90.00 90.00
Sites, in units of the cell vectors:
Sr (0.000, 0.000, 0.500)
Sr (0.500, 0.000, 0.000)
B (0.000, 0.500, 0.000)
Se (0.500, 0.500, 0.500)
C (0.000, 0.000, 0.000)

=====

(5)
Here is crystalline Th8BC3Se4 at its relaxed geometry from Alexandria. Energies are from GGA-PBE.

Results
calculated volume: 371.8 Å³ per cell
VASP energy: -7.78 eV/atom

Lattice parameters (Å, degrees): 7.822 8.345 7.822 117.96 120.00 90.00
Sites, in units of the cell vectors:
Th (0.764, 0.299, 0.527)
Th (0.236, 0.701, 0.965)
Th (0.764, 0.299, 0.035)
Th (0.729, 0.701, 0.965)
Th (0.733, 0.700, 0.466)
Th (0.267, 0.300, 0.534)
Th (0.271, 0.299, 0.035)
Th (0.236, 0.701, 0.473)
C (0.500, 0.500, 0.500)
C (0.000, 0.500, 0.500)
C (0.500, 0.500, 0.000)
Se (0.500, 0.000, 0.500)
Se (0.000, 0.000, 0.500)
Se (0.500, 0.000, 0.000)
Se (0.000, 0.000, 0.000)
B (0.000, 0.500, 0.000)

=====

(6)
Here is crystalline Th6BC2Se3 at its relaxed geometry from Alexandria. Energies are from GGA-PBE.

Results
calculated volume: 280.4 Å³ per cell
VASP energy: -7.71 eV/atom

Lattice parameters (Å, degrees): 3.922 8.354 9.236 108.06 102.26 90.00
Sites, in units of the cell vectors:
Se (0.165, 0.833, 0.330)
Se (0.835, 0.167, 0.670)
Se (0.500, 0.500, 0.000)
Th (0.342, 0.886, 0.683)
Th (0.987, 0.772, 0.974)
Th (0.658, 0.114, 0.317)
Th (0.322, 0.444, 0.644)
Th (0.013, 0.228, 0.026)
Th (0.678, 0.556, 0.356)
C (0.169, 0.336, 0.338)
C (0.831, 0.664, 0.662)
B (0.500, 0.000, 0.000)

=====

(7)
Here is crystalline TiBC2Se at its relaxed geometry from Alexandria. Energies are from GGA-PBE.

Results
calculated volume: 72.8 Å³ per cell
VASP energy: -5.26 eV/atom

Lattice parameters (Å, degrees): 4.079 4.374 4.079 90.00 90.00 90.00
Sites, in units of the cell vectors:
C (0.000, 0.000, 0.500)
C (0.500, 0.000, 0.000)
B (0.000, 0.500, 0.000)
Se (0.500, 0.500, 0.500)
Ti (0.000, 0.000, 0.000)

=====

(8)
Here is crystalline B2WCSe at its relaxed geometry from Alexandria. Energies are from GGA-PBE.

Results
calculated volume: 56.8 Å³ per cell
VASP energy: -6.21 eV/atom

Lattice parameters (Å, degrees): 3.528 4.566 3.528 90.00 90.00 90.00
Sites, in units of the cell vectors:
B (0.500, 0.000, 0.000)
B (0.000, 0.000, 0.500)
C (0.000, 0.000, 0.000)
W (0.000, 0.500, 0.000)
Se (0.500, 0.500, 0.500)

=====

(9)
Here is crystalline ZrBCSe2 at its relaxed geometry from Alexandria. Energies are from GGA-PBE.

Results
calculated volume: 118.9 Å³ per cell
VASP energy: -4.94 eV/atom

Lattice parameters (Å, degrees): 5.253 4.307 5.253 90.00 90.00 90.00
Sites, in units of the cell vectors:
Zr (0.000, 0.000, 0.000)
Se (0.500, 0.000, 0.000)
Se (0.000, 0.000, 0.500)
B (0.500, 0.500, 0.500)
C (0.000, 0.500, 0.000)

=====

(10)
Here is crystalline SiB2C3 at its relaxed geometry from Alexandria. Energies are from GGA-PBE.

Results
energy above the most stable polymorph in this dataset: 210 meV per atom
calculated volume: 102.1 Å³ per cell
VASP energy: -7.33 eV/atom

Lattice parameters (Å, degrees): 6.450 2.828 5.613 90.00 94.01 90.00
Sites, in units of the cell vectors:
Si (0.648, 0.500, 0.092)
Si (0.648, 0.000, 0.592)
B (0.966, 0.000, 0.632)
B (0.240, 0.000, 0.930)
B (0.240, 0.500, 0.430)
B (0.966, 0.500, 0.132)
C (0.538, 0.000, 0.256)
C (0.304, 0.000, 0.321)
C (0.083, 0.500, 0.634)
C (0.304, 0.500, 0.821)
C (0.538, 0.500, 0.756)
C (0.083, 0.000, 0.134)

=====

(11)
Here is crystalline SiB2C2 at its relaxed geometry from Alexandria. Energies are from GGA-PBE.

Results
energy above the most stable polymorph in this dataset: 193 meV per atom
calculated volume: 102.3 Å³ per cell
VASP energy: -7.08 eV/atom

Lattice parameters (Å, degrees): 6.460 2.719 6.605 90.00 118.18 90.00
Sites, in units of the cell vectors:
C (0.310, 0.500, 0.895)
C (0.543, 0.500, 0.088)
C (0.543, 0.000, 0.588)
C (0.310, 0.000, 0.395)
Si (0.004, 0.500, 0.932)
Si (0.004, 0.000, 0.432)
B (0.185, 0.000, 0.785)
B (0.185, 0.500, 0.285)
B (0.660, 0.500, 0.679)
B (0.660, 0.000, 0.179)

=====

(12)
Here is crystalline SiB2C2 at its relaxed geometry from Alexandria. Energies are from GGA-PBE.

Results
energy above the most stable polymorph in this dataset: 215 meV per atom
calculated volume: 85.8 Å³ per cell
VASP energy: -7.06 eV/atom

Lattice parameters (Å, degrees): 4.986 2.744 6.297 90.00 95.24 90.00
Sites, in units of the cell vectors:
C (0.648, 0.000, 0.099)
C (0.884, 0.500, 0.791)
C (0.648, 0.500, 0.599)
C (0.884, 0.000, 0.291)
B (0.072, 0.000, 0.819)
B (0.072, 0.500, 0.319)
B (0.710, 0.500, 0.988)
B (0.710, 0.000, 0.488)
Si (0.266, 0.500, 0.622)
Si (0.266, 0.000, 0.122)

=====

(13)
Here is crystalline SiB2C2 at its relaxed geometry from Alexandria. Energies are from GGA-PBE.

Results
energy above the most stable polymorph in this dataset: 227 meV per atom
calculated volume: 44.4 Å³ per cell
VASP energy: -7.05 eV/atom

Lattice parameters (Å, degrees): 3.605 2.738 4.615 90.00 103.12 90.00
Sites, in units of the cell vectors:
B (0.495, 0.000, 0.894)
B (0.564, 0.000, 0.536)
C (0.409, 0.500, 0.354)
C (0.426, 0.500, 0.033)
Si (0.047, 0.500, 0.604)

=====

(14)
Here is crystalline Si3BC at its relaxed geometry from Alexandria. Energies are from GGA-PBE.

Results
energy above the most stable polymorph in this dataset: 0 meV per atom
calculated volume: 59.5 Å³ per cell
VASP energy: -5.02 eV/atom

Lattice parameters (Å, degrees): 3.904 3.904 3.904 90.00 90.00 90.00
Sites, in units of the cell vectors:
C (0.000, 0.000, 0.000)
Si (0.500, 0.000, 0.000)
Si (0.000, 0.500, 0.000)
Si (0.000, 0.000, 0.500)
B (0.500, 0.500, 0.500)

=====

(15)
Here is crystalline SiB2C3 at its relaxed geometry from Alexandria. Energies are from GGA-PBE.

Results
energy above the most stable polymorph in this dataset: 230 meV per atom
calculated volume: 52.3 Å³ per cell
VASP energy: -7.31 eV/atom

Lattice parameters (Å, degrees): 3.069 3.651 5.053 96.94 106.45 101.14
Sites, in units of the cell vectors:
C (0.372, 0.111, 0.732)
C (0.065, 0.302, 0.511)
C (0.585, 0.469, 0.965)
B (0.326, 0.694, 0.742)
B (0.526, 0.082, 0.450)
Si (0.211, 0.564, 0.199)

=====

(16)
Here is crystalline SiB2C3 at its relaxed geometry from Alexandria. Energies are from GGA-PBE.

Results
energy above the most stable polymorph in this dataset: 49 meV per atom
calculated volume: 48.7 Å³ per cell
VASP energy: -7.49 eV/atom

Lattice parameters (Å, degrees): 2.832 3.080 5.854 103.02 92.94 100.31
Sites, in units of the cell vectors:
C (0.864, 0.080, 0.476)
C (0.269, 0.347, 0.064)
C (0.497, 0.570, 0.858)
Si (0.816, 0.493, 0.276)
B (0.402, 0.209, 0.613)
B (0.065, 0.813, 0.936)

=====

(17)
Here is crystalline SiB2C2 at its relaxed geometry from Alexandria. Energies are from GGA-PBE.

Results
energy above the most stable polymorph in this dataset: 348 meV per atom
calculated volume: 44.1 Å³ per cell
VASP energy: -6.93 eV/atom

Lattice parameters (Å, degrees): 2.938 3.212 4.884 106.79 90.08 90.21
Sites, in units of the cell vectors:
B (0.838, 0.470, 0.967)
B (0.330, 0.907, 0.181)
C (0.338, 0.382, 0.139)
C (0.336, 0.751, 0.449)
Si (0.837, 0.852, 0.685)

=====

(18)
Here is crystalline SiBC at its relaxed geometry from Alexandria. Energies are from GGA-PBE.

Results
energy above the most stable polymorph in this dataset: 518 meV per atom
calculated volume: 113.6 Å³ per cell
VASP energy: -6.44 eV/atom

Lattice parameters (Å, degrees): 2.942 4.470 8.637 90.00 90.00 90.00
Sites, in units of the cell vectors:
B (0.250, 0.250, 0.522)
B (0.750, 0.750, 0.978)
B (0.750, 0.750, 0.478)
B (0.250, 0.250, 0.022)
Si (0.250, 0.750, 0.666)
Si (0.750, 0.250, 0.334)
Si (0.250, 0.750, 0.166)
Si (0.750, 0.250, 0.834)
C (0.750, 0.750, 0.308)
C (0.250, 0.250, 0.692)
C (0.750, 0.750, 0.808)
C (0.250, 0.250, 0.192)

=====

(19)
Here is crystalline SiB2C3 at its relaxed geometry from Alexandria. Energies are from GGA-PBE.

Results
energy above the most stable polymorph in this dataset: 131 meV per atom
calculated volume: 95.5 Å³ per cell
VASP energy: -7.41 eV/atom

Lattice parameters (Å, degrees): 6.318 3.987 4.003 90.00 108.70 90.00
Sites, in units of the cell vectors:
C (0.000, 0.917, 0.000)
C (0.704, 0.914, 0.352)
C (0.704, 0.414, 0.852)
C (0.296, 0.414, 0.148)
C (0.296, 0.914, 0.648)
C (0.000, 0.417, 0.500)
B (0.844, 0.162, 0.172)
B (0.844, 0.662, 0.672)
B (0.156, 0.662, 0.328)
B (0.156, 0.162, 0.828)
Si (0.500, 0.664, 0.000)
Si (0.500, 0.164, 0.500)

=====

(20)
Here is crystalline SiBC at its relaxed geometry from Alexandria. Energies are from GGA-PBE.

Results
energy above the most stable polymorph in this dataset: 84 meV per atom
calculated volume: 29.5 Å³ per cell
VASP energy: -6.87 eV/atom

Lattice parameters (Å, degrees): 2.714 2.736 4.799 105.11 89.94 119.74
Sites, in units of the cell vectors:
Si (0.622, 0.769, 0.295)
C (0.755, 0.036, 0.723)
B (0.434, 0.394, 0.756)

=====

(21)
Here is crystalline SiB2C2 at its relaxed geometry from Alexandria. Energies are from GGA-PBE.

Results
energy above the most stable polymorph in this dataset: 423 meV per atom
calculated volume: 112.5 Å³ per cell
VASP energy: -6.85 eV/atom

Lattice parameters (Å, degrees): 6.512 2.768 6.319 90.00 98.89 90.00
Sites, in units of the cell vectors:
Si (0.366, 0.500, 0.546)
Si (0.366, 0.000, 0.046)
C (0.729, 0.500, 0.909)
C (0.729, 0.000, 0.409)
C (0.934, 0.500, 0.951)
C (0.934, 0.000, 0.451)
B (0.501, 0.500, 0.859)
B (0.050, 0.500, 0.475)
B (0.501, 0.000, 0.359)
B (0.050, 0.000, 0.975)

=====

(22)
Here is crystalline SiBC at its relaxed geometry from Alexandria. Energies are from GGA-PBE.

Results
energy above the most stable polymorph in this dataset: 421 meV per atom
calculated volume: 38.4 Å³ per cell
VASP energy: -6.53 eV/atom

Lattice parameters (Å, degrees): 3.126 3.389 4.240 112.77 109.43 91.55
Sites, in units of the cell vectors:
C (0.786, 0.376, 0.450)
Si (0.413, 0.514, 0.726)
B (0.577, 0.173, 0.049)

=====

(23)
Here is crystalline SiB2C2 at its relaxed geometry from Alexandria. Energies are from GGA-PBE.

Results
energy above the most stable polymorph in this dataset: 286 meV per atom
calculated volume: 98.2 Å³ per cell
VASP energy: -6.99 eV/atom

Lattice parameters (Å, degrees): 4.812 2.722 7.521 90.00 94.28 90.00
Sites, in units of the cell vectors:
C (0.341, 0.000, 0.233)
C (0.087, 0.500, 0.847)
C (0.341, 0.500, 0.733)
C (0.087, 0.000, 0.347)
B (0.402, 0.500, 0.141)
B (0.956, 0.500, 0.384)
B (0.956, 0.000, 0.884)
B (0.402, 0.000, 0.641)
Si (0.634, 0.000, 0.425)
Si (0.634, 0.500, 0.925)

=====

(24)
Here is crystalline SiBC at its relaxed geometry from Alexandria. Energies are from GGA-PBE.

Results
energy above the most stable polymorph in this dataset: 184 meV per atom
calculated volume: 66.4 Å³ per cell
VASP energy: -6.77 eV/atom

Lattice parameters (Å, degrees): 3.090 2.724 8.167 90.00 105.04 90.00
Sites, in units of the cell vectors:
C (0.803, 0.500, 0.702)
C (0.803, 0.000, 0.202)
B (0.698, 0.500, 0.110)
B (0.698, 0.000, 0.610)
Si (0.400, 0.500, 0.849)
Si (0.400, 0.000, 0.349)

=====

(25)
Here is crystalline SiB2C2 at its relaxed geometry from Alexandria. Energies are from GGA-PBE.

Results
energy above the most stable polymorph in this dataset: 283 meV per atom
calculated volume: 54.0 Å³ per cell
VASP energy: -6.99 eV/atom

Lattice parameters (Å, degrees): 3.082 2.727 6.591 90.00 102.96 90.00
Sites, in units of the cell vectors:
B (0.553, 0.000, 0.418)
B (0.335, 0.000, 0.971)
C (0.393, 0.500, 0.081)
C (0.498, 0.500, 0.303)
Si (0.162, 0.000, 0.648)

=====

no.,E_form (uncorrected) (meV per atom)
1,3049
2,1804
3,103
4,-491
5,-1050
6,-1037
7,2040
8,1593
9,1344
10,410
11,363
12,385
13,397
14,1417
15,429
16,249
17,518
18,672
19,331
20,238
21,593
22,575
23,456
24,337
25,453